[1]
A relaxed structure of Nb3B7Ru. Source: Alexandria via LeMat-Bulk, functional PBE.

```
Nb3B7Ru
1.0
-0.0708 3.1597 0.8436
-5.6382 -0.5278 -4.8389
-5.5746 -1.9149 6.7043
B Ru Nb
14 2 6
Cartesian
-6.0310 0.8474 -3.6804
-7.7938 0.2419 -1.5603
-3.4898 0.4752 4.2694
-5.2527 -0.1304 6.3895
-8.0100 0.2079 4.8908
-4.9831 0.4842 -2.2319
-6.1072 0.0980 -0.8800
-3.2736 0.5091 -2.1818
-2.2300 1.2496 1.4743
-5.1765 0.6190 3.5890
-5.5931 1.0382 1.9840
-9.0536 -0.5326 1.2347
-6.3006 0.2329 4.9409
-5.6906 -0.3211 0.7251
-4.7357 -1.3333 4.5964
-6.5480 2.0503 -1.8873
-7.5708 1.3396 0.6888
-9.7410 0.5942 3.2987
-4.2681 1.6276 -0.1124
-3.7128 -0.6226 2.0203
-7.0156 -0.9105 2.8214
-1.5427 0.1228 -0.5897
```

Values from the calculation:
- crystal system = orthorhombic
- ΔH_f (0 K) (kJ per mole of atoms) = -54.7

[2]
A relaxed structure of CaAl2Zn10. Source: Alexandria via LeMat-Bulk, functional PBE.

```
CaAl2Zn10
1.0
5.3535 0.0000 0.0000
2.6767 6.3327 0.0000
2.6767 0.0000 6.3136
Zn Al Ca
10 2 1
Cartesian
2.6767 2.2391 4.0672
5.3535 2.2391 2.2464
8.0302 4.0936 2.2464
1.3384 0.0000 3.1568
5.3535 4.9575 1.4094
5.3535 4.0936 4.0672
2.6767 1.3753 1.4094
4.0151 0.0000 3.1568
8.0302 4.9575 4.9042
5.3535 1.3753 4.9042
1.3384 3.1664 0.0000
4.0151 3.1664 0.0000
0.0000 0.0000 0.0000
```

Values from the calculation:
- crystal system = orthorhombic
- ΔH_f (0 K) (kJ per mole of atoms) = -11.2

[3]
A relaxed structure of Pm2Sc3Au4. Source: Alexandria via LeMat-Bulk, functional PBE.

```
Pm2Sc3Au4
1.0
-2.1287 5.6201 -2.9439
-6.9799 -2.4537 0.3628
0.1789 0.8313 9.0638
Sc Pm Au
6 4 8
Cartesian
0.0000 0.0000 0.0000
-2.6949 2.5096 2.9366
-3.7593 5.3197 1.4646
-5.1705 -1.3220 5.0180
-4.5543 1.5832 -1.2906
-6.2348 1.4880 3.5460
-7.5950 1.2911 0.3505
-1.3347 2.7066 6.1321
-4.2873 -0.7303 1.7058
-4.6425 4.7280 4.7768
-1.8246 5.1500 3.5449
-6.5364 2.7283 6.1318
-5.4721 -0.0817 7.6038
-5.0318 2.7607 1.3027
-7.1052 -1.1524 2.9377
-3.4577 4.0794 -1.1212
-3.8979 1.2370 5.1799
-2.3933 1.2693 0.3508
```

Values from the calculation:
- crystal system = orthorhombic
- ΔH_f (0 K) (kJ per mole of atoms) = -66.3